A relaxed structure of CaVPO6, computed with PBE with a Hubbard U.

Results
DOS(E_F)	0.00	states/eV per cell
DFT total energy	-7.193	eV per atom

Unit cell a=4.834 b=4.834 c=5.052 alpha=90.00 beta=90.00 gamma=60.00
Fractional positions:
Ca  0.000  0.000  0.000
O  0.366  0.027  0.696
O  0.027  0.607  0.696
O  0.027  0.366  0.304
O  0.366  0.607  0.304
O  0.607  0.027  0.304
O  0.607  0.367  0.696
V  0.667  0.667  0.500
P  0.333  0.333  0.500